This record from Alexandria describes a geometry-optimized LiTm2Co2O6 structure. The functional is PBE+U.

Summary:
Calculated total energy = -6.40 eV per atom
Symmetry = R-3m
Total magnetization = 7.00 μB/f.u.

POSCAR file:
```
LiTm2Co2O6
1.0
2.8815 1.6637 5.3293
-2.8815 1.6637 5.3293
0.0000 -3.3273 5.3293
Li Tm Co O
1 2 2 6
Cartesian
0.0000 0.0000 0.0000
0.0000 0.0000 2.9171
0.0000 0.0000 13.0709
0.0000 0.0000 6.5911
0.0000 0.0000 9.3969
-1.5445 -0.8917 9.1672
0.0000 -1.7834 6.8208
-1.5445 0.8917 6.8208
1.5445 -0.8917 9.1672
0.0000 1.7834 9.1672
1.5445 0.8917 6.8208
```